Entry from the Alexandria database: a PBEsol-optimized structure of ZnTc2As (meta-GGA SCAN).

The structure in POSCAR format:
```
ZnTc2As
1.0
3.004 0.000 0.000
0.000 3.004 0.000
0.000 0.000 6.128
Zn Tc As
1 2 1
direct
0.000 0.000 0.000
0.500 0.500 0.267
0.500 0.500 0.733
0.000 0.000 0.500
```

Values from the calculation:
Raw total energy ... -25.88 eV/atom
Density of states at the Fermi level ... 3.9 states/eV per cell
Energy relative to the elements ... 0.073 eV per atom
Calculated volume ... 55.3 Å³ per cell
Space group ... No. 123